The following is a DFT calculation (GGA+U) of a relaxed UGaFe2O6 crystal.

abc: 5.4320 5.4400 7.9222
angles: 90.00 90.63 90.00
Last column: nearest neighbours and their distance in Å.
Sites, in units of the cell vectors:
U  0.5000  0.0000  0.0000  6 O 2.11-2.22
U  0.0000  0.5000  0.5000  6 O 2.11-2.22
O  0.8217  0.8290  0.5678  1 Ga 2.05, 1 U 2.11, 1 Fe 2.14
O  0.3415  0.6850  0.4353  1 Ga 1.98, 1 Fe 2.06, 1 U 2.18
O  0.8415  0.8150  0.9353  1 Ga 1.98, 1 Fe 2.06, 1 U 2.18
O  0.1204  0.4150  0.7616  1 Ga 2.06, 2 Fe 2.11-2.16, 1 U 2.22
O  0.6585  0.3150  0.5647  1 Ga 1.98, 1 Fe 2.06, 1 U 2.18
O  0.1585  0.1850  0.0647  1 Ga 1.98, 1 Fe 2.06, 1 U 2.18
O  0.3217  0.6710  0.0678  1 Ga 2.05, 1 U 2.11, 1 Fe 2.14
O  0.6783  0.3290  0.9322  1 Ga 2.05, 1 U 2.11, 1 Fe 2.14
O  0.8796  0.5850  0.2384  1 Ga 2.06, 2 Fe 2.11-2.16, 1 U 2.22
O  0.1783  0.1710  0.4322  1 Ga 2.05, 1 U 2.11, 1 Fe 2.14
O  0.6204  0.0850  0.2616  1 Ga 2.06, 2 Fe 2.11-2.16, 1 U 2.22
O  0.3796  0.9150  0.7384  1 Ga 2.06, 2 Fe 2.11-2.16, 1 U 2.22
Fe  0.0115  0.0337  0.7589  4 O 2.06-2.16
Fe  0.4885  0.5337  0.7411  4 O 2.06-2.16
Fe  0.9885  0.9663  0.2411  4 O 2.06-2.16
Fe  0.5115  0.4663  0.2589  4 O 2.06-2.16
Ga  0.0000  0.5000  0.0000  6 O 1.98-2.06
Ga  0.5000  0.0000  0.5000  6 O 1.98-2.06

Values from the calculation:
Calculated density   7.31 g/cm³
SG   No. 14
Total DFT energy (no corrections)   -152.189 eV/cell